VASP calculation (PBE) on crystalline CePm6Y2Er3 at its relaxed geometry.

As for the formation energy from the elements: 0.04 eV/atom. As for the space-group type: C2/m.

a = 6.2391 Å, b = 6.2391 Å, c = 11.8559 Å
α = 95.03°, β = 95.03°, γ = 120.01°
Last column: magnetic moment on the atom in μB.
Sites, in units of the cell vectors:
1 Ce 0.0000 0.0000 0.0000  0.85
2 Pm 0.0836 0.4146 0.2517  0.01
3 Pm 0.4146 0.0836 0.2517  0.01
4 Pm 0.7527 0.7527 0.2517  0.01
5 Pm 0.9164 0.5854 0.7483  0.01
6 Pm 0.2473 0.2473 0.7483  0.01
7 Pm 0.5854 0.9164 0.7483  0.01
8 Y 0.3335 0.6665 0.0000  0.05
9 Y 0.6665 0.3335 0.0000  0.05
10 Er 0.1672 0.8328 0.5000  -0.01
11 Er 0.8328 0.1672 0.5000  -0.01
12 Er 0.5000 0.5000 0.5000  -0.01

***

VASP calculation (PBE) on crystalline Tb2Pr8Tl at its relaxed geometry.

As for the formation energy from the elements: 0.02 eV/atom. As for the space-group type: Immm. As for the excess energy over the best structure of this formula in the dataset: 0.064 eV per atom.

a = 5.6784 Å, b = 7.7500 Å, c = 10.0789 Å
α = 112.61°, β = 106.36°, γ = 90.00°
Sites, in units of the cell vectors:
1 Pr 0.0000 0.7397 0.0000
2 Pr 0.0000 0.2603 0.0000
3 Pr 0.8212 0.8212 0.6424
4 Pr 0.3627 0.5890 0.7254
5 Pr 0.3627 0.1363 0.7253
6 Pr 0.6373 0.8637 0.2747
7 Pr 0.6373 0.4110 0.2746
8 Pr 0.1788 0.1788 0.3576
9 Tl 0.5000 0.0000 0.0000
10 Tb 0.8078 0.3079 0.6157
11 Tb 0.1922 0.6921 0.3843

***

VASP calculation (PBE) on crystalline Te6IrPd at its relaxed geometry.

As for the space-group type: R-3. Its energy relative to the elements, uncorrected is -1.37 eV/f.u. As for the excess energy over the best structure of this formula in the dataset: 0.000 eV per atom.

a = 6.6492 Å, b = 6.6504 Å, c = 6.6429 Å
α = 59.88°, β = 59.94°, γ = 60.01°
Sites, in units of the cell vectors:
1 Te 0.9471 0.5452 0.2476
2 Te 0.4540 0.7397 0.7525
3 Te 0.0529 0.4548 0.7524
4 Te 0.2614 0.9467 0.2461
5 Te 0.7386 0.0533 0.7539
6 Te 0.5460 0.2603 0.2475
7 Ir 0.5000 0.5000 0.5000
8 Pd 0.0000 0.0000 0.0000